# FeSnP2S GGA-PBEsol optimized geometry
data_FeSnP2S
_cell_length_a 4.1820
_cell_length_b 4.1820
_cell_length_c 5.1158
_cell_angle_alpha 90.00
_cell_angle_beta 90.00
_cell_angle_gamma 90.00
_space_group_name_H-M_alt 'P 1'
_space_group_IT_number 1
loop_
_space_group_symop_operation_xyz
'x,y,z'
loop_
_atom_site_label
_atom_site_fract_x
_atom_site_fract_y
_atom_site_fract_z
Fe1 0.0000 0.0000 0.0000
Sn1 0.5000 0.5000 0.5000
P1 0.0000 0.5000 0.0000
P2 0.5000 0.0000 0.0000
S1 0.0000 0.0000 0.5000
# E_form (uncorrected) (eV per atom): 0.193

=====

# SnGeP2 GGA-PBEsol optimized geometry
data_SnGeP2
_cell_length_a 4.6636
_cell_length_b 4.6636
_cell_length_c 4.6636
_cell_angle_alpha 60.00
_cell_angle_beta 60.00
_cell_angle_gamma 60.00
_space_group_name_H-M_alt 'P 1'
_space_group_IT_number 1
loop_
_space_group_symop_operation_xyz
'x,y,z'
loop_
_atom_site_label
_atom_site_fract_x
_atom_site_fract_y
_atom_site_fract_z
Sn1 0.0000 0.0000 0.0000
Ge1 0.5000 0.5000 0.5000
P1 0.2500 0.2500 0.2500
P2 0.7500 0.7500 0.7500
# E_form (eV/atom): 0.37